[1]
# Tl3Zn5H12, relaxed, DFT PBE
# **E**: -389.2 eV for the cell shown
# **Density of states at the Fermi level**: 2.25 states/eV/f.u.
data_Tl3Zn5H12
_chemical_formula_sum 'Tl24 Zn40 H96'
_cell_length_a 12.657
_cell_length_b 12.657
_cell_length_c 12.657
_cell_angle_alpha 90.00
_cell_angle_beta 90.00
_cell_angle_gamma 90.00
_symmetry_space_group_name_H-M 'I a -3 d'
_symmetry_Int_Tables_number 230
_symmetry_space_group_name_Hall '-I 4bd 2c 3'
loop_
_atom_site_label
_atom_site_fract_x
_atom_site_fract_y
_atom_site_fract_z
Tl1 0.000 0.250 0.125
Zn1 0.000 0.000 0.000
Zn2 0.000 0.250 0.375
H1 0.034 0.142 0.954


[2]
# Pr6P2N, relaxed, DFT PBE
# **Raw formation energy**: -0.903 eV per atom
# **E**: -111.9 eV for the cell shown
# **Density of states at the Fermi level**: 9.00 states/eV/f.u.
data_Pr6P2N
_chemical_formula_sum 'Pr12 P4 N2'
_cell_length_a 6.587
_cell_length_b 7.592
_cell_length_c 11.421
_cell_angle_alpha 90.00
_cell_angle_beta 122.48
_cell_angle_gamma 90.00
_symmetry_space_group_name_H-M 'P 1 21/c 1'
_symmetry_Int_Tables_number 14
_symmetry_space_group_name_Hall '-P 2ybc'
loop_
_atom_site_label
_atom_site_fract_x
_atom_site_fract_y
_atom_site_fract_z
Pr1 0.096 0.035 0.244
Pr2 0.205 0.707 0.061
Pr3 0.386 0.176 0.053
P1 0.319 0.120 0.758
N1 0.000 0.000 0.000